# 1
VASP calculation (GGA-PBE) on Be3FeCu after structural relaxation.

a = 3.9158 Å, b = 3.9158 Å, c = 3.9158 Å
α = 90.00°, β = 90.00°, γ = 90.00°
Fractional coordinates of all 5 atoms:
Be 0.0000 0.0000 0.5000
Be 0.0000 0.5000 0.0000
Be 0.5000 0.0000 0.0000
Fe 0.5000 0.5000 0.5000
Cu 0.0000 0.0000 0.0000

symmetry: Pm-3m (221)
ΔE_f: 0.75 eV per atom
energy: -3.9931 eV/atom
polymorph energy (0 for the lowest one): 0.00 eV per formula unit
spin magnetization: 2.7 Bohr magnetons per cell
crystal system: cubic

=====

# 2
VASP calculation (GGA-PBE) on PPd6 after structural relaxation.

a = 5.7616 Å, b = 9.5561 Å, c = 8.3477 Å
α = 90.00°, β = 110.38°, γ = 90.00°
Fractional coordinates of all 28 atoms:
P 0.1227 0.2382 0.2493
P 0.1227 0.2618 0.7493
P 0.8773 0.7382 0.2507
P 0.8773 0.7618 0.7507
Pd 0.0411 0.6356 0.0648
Pd 0.0411 0.8644 0.5648
Pd 0.1340 0.5800 0.7482
Pd 0.1340 0.9200 0.2482
Pd 0.2275 0.6348 0.4306
Pd 0.2275 0.8652 0.9306
Pd 0.2869 0.1344 0.0638
Pd 0.2869 0.3656 0.5638
Pd 0.3803 0.0811 0.7482
Pd 0.3803 0.4189 0.2482
Pd 0.4720 0.1331 0.4306
Pd 0.4720 0.3669 0.9306
Pd 0.5280 0.6331 0.0694
Pd 0.5280 0.8669 0.5694
Pd 0.6197 0.5811 0.7518
Pd 0.6197 0.9189 0.2518
Pd 0.7131 0.6344 0.4362
Pd 0.7131 0.8656 0.9362
Pd 0.7725 0.1348 0.0694
Pd 0.7725 0.3652 0.5694
Pd 0.8660 0.0800 0.7518
Pd 0.8660 0.4200 0.2518
Pd 0.9589 0.1356 0.4352
Pd 0.9589 0.3644 0.9352

symmetry: P2_1/c (14)
ΔE_f: -0.30 eV per atom
energy: -5.5267 eV/atom
polymorph energy (0 for the lowest one): 0.00 eV per formula unit
spin magnetization: 0.0 Bohr magnetons per cell
crystal system: monoclinic

=====

# 3
VASP calculation (GGA-PBE) on Li2Ac2Tl3 after structural relaxation.

a = 6.3948 Å, b = 6.3948 Å, c = 7.6753 Å
α = 113.28°, β = 113.28°, γ = 44.72°
Fractional coordinates of all 7 atoms:
Li 0.1328 0.1328 0.2346
Li 0.8672 0.8672 0.7654
Ac 0.1512 0.1512 0.7750
Ac 0.8488 0.8488 0.2250
Tl 0.3806 0.3806 0.5525
Tl 0.5000 0.5000 0.0000
Tl 0.6194 0.6194 0.4475

symmetry: C2/m (12)
ΔE_f: -0.25 eV per atom
energy: -2.9824 eV/atom
polymorph energy (0 for the lowest one): 0.25 eV per formula unit
spin magnetization: 0.0 Bohr magnetons per cell
crystal system: monoclinic

=====

# 4
VASP calculation (GGA-PBE) on La2CoSb after structural relaxation.

a = 3.6092 Å, b = 3.6117 Å, c = 7.9767 Å
α = 90.00°, β = 90.30°, γ = 90.00°
Fractional coordinates of all 4 atoms:
La 0.0026 0.0000 0.2854
La 0.9974 0.0000 0.7146
Co 0.5000 0.5000 0.5000
Sb 0.5000 0.5000 0.0000

symmetry: P2/m (10)
energy: -5.6791 eV/atom
polymorph energy (0 for the lowest one): 0.56 eV per formula unit
spin magnetization: 0.4 Bohr magnetons per cell
uncorrected formation energy: -0.408 eV/atom
crystal system: monoclinic

=====

| no. | calculated volume (A^3/atom) |
| --- | --- |
| 1 | 12.0 |
| 2 | 15.4 |
| 3 | 28.5 |
| 4 | 26.0 |